1.
Material: MgCu2H
Method: DFT, PBE-GGA
State: optimized geometry

Unit cell a=5.2296 b=5.2296 c=5.2226 alpha=59.96 beta=59.96 gamma=90.00
Element x y z (fractional)
1 Mg 0.0000 0.0000 0.0000
2 Mg 0.7500 0.2500 0.5000
3 Cu 0.3750 0.6249 0.7500
4 Cu 0.8750 0.6251 0.7500
5 Cu 0.3751 0.1250 0.2500
6 Cu 0.3749 0.6250 0.2500
7 H 0.5000 0.5000 0.0000
8 H 0.2500 0.7500 0.5000

Calculated volume ... 12.61 Å³ per atom
Offset from the most stable computed form ... 0 meV per atom
SG ... I4_1/amd (141)
Crystal system ... tetragonal
Total energy ... -25.8 eV for the cell shown



2.
Material: MgCu2H2
Method: DFT, PBE-GGA
State: optimized geometry

Unit cell a=3.4014 b=3.4014 c=4.8257 alpha=69.36 beta=69.36 gamma=90.00
Element x y z (fractional)
1 Mg 0.0000 0.0000 0.0000
2 H 0.2500 0.7500 0.5000
3 H 0.7500 0.2500 0.5000
4 Cu 0.3422 0.3422 0.3155
5 Cu 0.6578 0.6578 0.6845

Calculated volume ... 9.68 Å³ per atom
Offset from the most stable computed form ... 0 meV per atom
SG ... I4/mmm (139)
Crystal system ... tetragonal
Total energy ... -16.0 eV for the cell shown